(1)
! HPb3I, PBEsol geometry, DFT SCAN; values from VASP
&SYSTEM
  ibrav = 0, nat = 5, ntyp = 3
/
ATOMIC_SPECIES
Pb 207.20 Pb.upf
I 126.90 I.upf
H 1.01 H.upf
CELL_PARAMETERS angstrom
-4.4143 1.6769 1.7405
0.8752 -2.2692 4.4059
2.2528 4.1673 1.6988
ATOMIC_POSITIONS crystal
Pb 0.0000 0.5000 0.0000
Pb 0.0000 0.0000 0.5000
Pb 0.5000 0.0000 0.0000
I 0.5000 0.5000 0.5000
H 0.0000 0.0000 0.0000
! ρ: 9.76 g/cm³
! DOS(E_F): 0.6032 states/eV/atom
! VASP energy: -1.9528 hartree per atom

(2)
! Te2HPbI, PBEsol geometry, DFT SCAN; values from VASP
&SYSTEM
  ibrav = 0, nat = 5, ntyp = 4
/
ATOMIC_SPECIES
Pb 207.20 Pb.upf
Te 127.60 Te.upf
H 1.01 H.upf
I 126.90 I.upf
CELL_PARAMETERS angstrom
-1.1151 -5.5899 1.2064
3.7063 -1.6425 -4.1846
4.6109 -0.0354 4.0979
ATOMIC_POSITIONS crystal
Pb 0.0000 0.0000 0.0000
Te 0.5000 0.0000 0.0000
Te 0.0000 0.5000 0.0000
H 0.5000 0.5000 0.5000
I 0.0000 0.0000 0.5000
! ρ: 4.68 g/cm³
! DOS(E_F): 0.9151 states/eV/atom
! VASP energy: -1.3705 hartree per atom

(3)
! HPd3I, PBEsol geometry, DFT SCAN; values from VASP
&SYSTEM
  ibrav = 0, nat = 5, ntyp = 3
/
ATOMIC_SPECIES
Pd 106.42 Pd.upf
I 126.90 I.upf
H 1.01 H.upf
CELL_PARAMETERS angstrom
4.9490 0.0000 0.0000
0.0000 4.9490 0.0000
0.0000 0.0000 4.9490
ATOMIC_POSITIONS crystal
Pd 0.0000 0.5000 0.0000
Pd 0.5000 0.0000 0.0000
Pd 0.0000 0.0000 0.5000
I 0.0000 0.0000 0.0000
H 0.5000 0.5000 0.5000
! ρ: 6.13 g/cm³
! DOS(E_F): 0.7990 states/eV/atom
! VASP energy: -0.9778 hartree per atom

(4)
! TcHPd2I, PBEsol geometry, DFT SCAN; values from VASP
&SYSTEM
  ibrav = 0, nat = 5, ntyp = 4
/
ATOMIC_SPECIES
Pd 106.42 Pd.upf
I 126.90 I.upf
H 1.01 H.upf
Tc 98.00 Tc.upf
CELL_PARAMETERS angstrom
-0.0843 -1.1407 3.2738
-2.5136 -3.9480 -1.4404
4.2009 -2.4080 -0.7308
ATOMIC_POSITIONS crystal
Pd 0.0000 0.5000 0.0000
Pd 0.0000 0.0000 0.5000
I 0.5000 0.5000 0.5000
H 0.5000 0.0000 0.0000
Tc 0.0000 0.0000 0.0000
! ρ: 8.76 g/cm³
! DOS(E_F): 0.9996 states/eV/atom
! VASP energy: -1.0019 hartree per atom